Here is an optimized crystal structure of FeAg2W from Alexandria via LeMat-Bulk. Energies are from GGA-PBEsol.

Cell and atoms, written as extended XYZ:
```
4
Lattice="1.368 0.790 9.333 -1.368 0.790 9.333 0.000 -1.580 9.333" Properties=species:S:1:pos:R:3 pbc="T T T"
Fe 0.000 0.000 0.000
Ag 0.000 0.000 7.098
Ag 0.000 0.000 20.902
W 0.000 0.000 14.000
```

ΔE to the lowest computed polymorph	0.000	eV/atom
theoretical density	12.498	g/cm3

Here is an optimized crystal structure of FeAg2W from Alexandria via LeMat-Bulk. Energies are from GGA-PBEsol.

Cell and atoms, written as extended XYZ:
```
4
Lattice="0.000 3.116 3.116 3.116 0.000 3.116 3.116 3.116 0.000" Properties=species:S:1:pos:R:3 pbc="T T T"
Fe 0.000 0.000 0.000
Ag 1.558 1.558 1.558
Ag 4.675 4.675 4.675
W 3.116 3.116 3.116
```

ΔE to the lowest computed polymorph	0.392	eV/atom
theoretical density	12.494	g/cm3

Here is an optimized crystal structure of FeAg2W from Alexandria via LeMat-Bulk. Energies are from GGA-PBEsol.

Cell and atoms, written as extended XYZ:
```
4
Lattice="-1.817 1.817 4.367 1.817 -1.817 4.367 1.817 1.817 -4.367" Properties=species:S:1:pos:R:3 pbc="T T T"
Fe 0.000 0.000 0.000
Ag 1.817 0.000 2.183
Ag 0.000 1.817 2.183
W 0.000 0.000 4.367
```

ΔE to the lowest computed polymorph	0.137	eV/atom
theoretical density	13.118	g/cm3

Here is an optimized crystal structure of FeAg2W from Alexandria via LeMat-Bulk. Energies are from GGA-PBEsol.

Cell and atoms, written as extended XYZ:
```
4
Lattice="4.819 0.000 0.000 0.000 4.819 0.000 0.000 0.000 2.673" Properties=species:S:1:pos:R:3 pbc="T T T"
Fe 0.000 0.000 0.000
Ag 0.000 2.410 1.336
Ag 2.410 0.000 1.336
W 2.410 2.410 0.000
```

ΔE to the lowest computed polymorph	0.302	eV/atom
theoretical density	12.184	g/cm3

Here is an optimized crystal structure of YFe2Ag from Alexandria via LeMat-Bulk. Energies are from GGA-PBEsol.

Cell and atoms, written as extended XYZ:
```
4
Lattice="1.455 0.840 9.070 -1.455 0.840 9.070 0.000 -1.680 9.070" Properties=species:S:1:pos:R:3 pbc="T T T"
Y 0.000 0.000 0.000
Fe 0.000 0.000 6.679
Fe 0.000 0.000 20.532
Ag 0.000 0.000 13.605
```

ΔE to the lowest computed polymorph	0.350	eV/atom
theoretical density	7.704	g/cm3

Here is an optimized crystal structure of YFe2Ag from Alexandria via LeMat-Bulk. Energies are from GGA-PBEsol.

Cell and atoms, written as extended XYZ:
```
4
Lattice="-1.981 1.981 4.149 1.981 -1.981 4.149 1.981 1.981 -4.149" Properties=species:S:1:pos:R:3 pbc="T T T"
Y 0.000 0.000 0.000
Fe 1.981 0.000 2.074
Fe 0.000 1.981 2.074
Ag 0.000 0.000 4.149
```

ΔE to the lowest computed polymorph	0.000	eV/atom
theoretical density	7.867	g/cm3

Here is an optimized crystal structure of ZnFe3Ag from Alexandria via LeMat-Bulk. Energies are from GGA-PBEsol.

Cell and atoms, written as extended XYZ:
```
5
Lattice="4.330 0.000 0.000 0.000 4.330 0.000 0.000 0.000 4.330" Properties=species:S:1:pos:R:3 pbc="T T T"
Zn 0.000 0.000 0.000
Fe 0.000 0.000 2.165
Fe 0.000 2.165 0.000
Fe 2.165 0.000 0.000
Ag 2.165 2.165 2.165
```

theoretical density	6.970	g/cm3

Here is an optimized crystal structure of Zn2FeAg from Alexandria via LeMat-Bulk. Energies are from GGA-PBEsol.

Cell and atoms, written as extended XYZ:
```
4
Lattice="1.356 0.783 8.635 -1.356 0.783 8.635 0.000 -1.565 8.635" Properties=species:S:1:pos:R:3 pbc="T T T"
Zn 0.000 0.000 6.334
Zn 0.000 0.000 19.572
Fe 0.000 0.000 12.953
Ag 0.000 0.000 0.000
```

ΔE to the lowest computed polymorph	0.053	eV/atom
theoretical density	8.895	g/cm3

Here is an optimized crystal structure of ZnFeAg2 from Alexandria via LeMat-Bulk. Energies are from GGA-PBEsol.

Cell and atoms, written as extended XYZ:
```
4
Lattice="4.514 -1.364 0.000 4.514 1.364 0.000 -0.763 0.000 4.758" Properties=species:S:1:pos:R:3 pbc="T T T"
Zn 0.000 0.000 0.000
Fe 4.133 0.000 2.379
Ag 1.684 0.000 3.558
Ag 6.581 0.000 1.200
```

theoretical density	9.552	g/cm3

Here is an optimized crystal structure of ZnFeAg2 from Alexandria via LeMat-Bulk. Energies are from GGA-PBEsol.

Cell and atoms, written as extended XYZ:
```
4
Lattice="4.561 0.000 0.000 0.000 4.561 0.000 0.000 0.000 2.827" Properties=species:S:1:pos:R:3 pbc="T T T"
Zn 0.000 0.000 0.000
Fe 2.281 2.281 0.000
Ag 0.000 2.281 1.414
Ag 2.281 0.000 1.414
```

theoretical density	9.513	g/cm3

Here is an optimized crystal structure of Zn2FeAg from Alexandria via LeMat-Bulk. Energies are from GGA-PBEsol.

Cell and atoms, written as extended XYZ:
```
4
Lattice="2.666 0.000 0.000 0.000 2.666 0.000 0.000 0.000 7.596" Properties=species:S:1:pos:R:3 pbc="T T T"
Zn 0.000 0.000 1.728
Zn 0.000 0.000 5.867
Fe 1.333 1.333 0.000
Ag 1.333 1.333 3.798
```

ΔE to the lowest computed polymorph	0.000	eV/atom
theoretical density	9.056	g/cm3

Here is an optimized crystal structure of ZrFeAg2 from Alexandria via LeMat-Bulk. Energies are from GGA-PBEsol.

Cell and atoms, written as extended XYZ:
```
4
Lattice="2.825 0.000 0.000 0.000 2.825 0.000 0.000 0.000 8.200" Properties=species:S:1:pos:R:3 pbc="T T T"
Zr 0.000 0.000 0.000
Fe 0.000 0.000 4.100
Ag 1.413 1.413 2.265
Ag 1.413 1.413 5.936
```

ΔE to the lowest computed polymorph	0.139	eV/atom
theoretical density	9.203	g/cm3

Computed DOS(E_F) (states/eV per cell) in order:
3.5; 4.5; 2.5; 3.3; 4.8; 3.3; 6.5; 1.9; 2.5; 2.8; 1.7; 3.2
Computed calculated volume (Å³ per atom) in order:
15.13; 15.13; 14.41; 15.52; 16.62; 16.28; 16.24; 13.75; 14.65; 14.71; 13.50; 16.37
Computed energy relative to the elements (eV per atom) in order:
0.534; 0.926; 0.671; 0.836; 0.672; 0.322; 1.281; 0.056; 0.214; 0.264; 0.003; 0.220